No. 1
First-principles (PBE) data for a relaxed Ba6Rh2NCl3 crystal, as listed in the Alexandria database.

Output
* SG: C2/m

```
12
Lattice="7.643 -0.005 -0.003 -3.824 6.618 -0.003 -1.277 -2.210 7.757" Properties=species:S:1:pos:R:3 pbc="T T T"
Rh 0.002 4.408 -0.003
Rh 3.817 2.205 -0.003
Cl 1.271 2.201 3.876
Cl 5.108 -0.014 3.876
Cl -2.565 4.417 3.876
Ba -1.181 2.042 1.611
Ba 2.644 4.578 1.584
Ba 0.184 4.405 6.141
Ba 3.723 2.361 6.141
Ba -0.101 -0.175 6.168
Ba 2.358 -0.002 1.611
N 0.000 0.000 0.000
```

No. 2
First-principles (PBE) data for a relaxed BaRuNCl2 crystal, as listed in the Alexandria database.

Output
* SG: P4/mmm

```
5
Lattice="5.991 0.000 0.000 0.000 4.671 0.000 0.000 0.000 5.991" Properties=species:S:1:pos:R:3 pbc="T T T"
N 0.000 2.336 0.000
Cl 2.996 0.000 0.000
Cl 0.000 0.000 2.996
Ba 0.000 0.000 0.000
Ru 2.996 2.336 2.996
```

No. 3
First-principles (PBE) data for a relaxed BaS2NCl crystal, as listed in the Alexandria database.

Output
* ΔE to the lowest computed polymorph: 0.0 kJ per mole of atoms
* SG: P4/mmm

```
5
Lattice="4.233 0.000 0.000 0.000 4.233 0.000 0.000 0.000 5.908" Properties=species:S:1:pos:R:3 pbc="T T T"
N 0.000 0.000 0.000
Ba 2.116 2.116 2.954
S 0.000 2.116 0.000
S 2.116 0.000 0.000
Cl 0.000 0.000 2.954
```

No. 4
First-principles (PBE) data for a relaxed BaSN2Cl crystal, as listed in the Alexandria database.

Output
* ΔE to the lowest computed polymorph: 0.0 kJ per mole of atoms
* SG: P4/mmm

```
5
Lattice="-0.178 -2.644 3.546 4.392 -0.531 -0.176 0.559 3.703 2.790" Properties=species:S:1:pos:R:3 pbc="T T T"
N 2.196 -0.265 -0.088
N -0.089 -1.322 1.773
Cl 0.000 0.000 0.000
Ba 2.387 0.264 3.080
S 0.280 1.852 1.395
```

No. 5
First-principles (PBE) data for a relaxed BaS2NCl crystal, as listed in the Alexandria database.

Output
* ΔE to the lowest computed polymorph: 59.5 kJ per mole of atoms
* SG: P4/mmm

```
5
Lattice="5.127 0.000 0.000 0.000 5.127 0.000 0.000 0.000 4.281" Properties=species:S:1:pos:R:3 pbc="T T T"
S 0.000 2.563 0.000
S 2.563 0.000 0.000
N 0.000 0.000 2.141
Cl 0.000 0.000 0.000
Ba 2.563 2.563 2.141
```

No. 6
First-principles (PBE) data for a relaxed Ba6S3NCl2 crystal, as listed in the Alexandria database.

Output
* SG: C2/m

```
12
Lattice="-3.987 0.398 -6.742 -1.492 -5.787 5.079 -3.128 5.855 3.724" Properties=species:S:1:pos:R:3 pbc="T T T"
Ba -6.175 -0.658 3.308
Ba -2.432 1.124 -1.247
Ba -3.561 3.306 2.481
Ba -1.679 -0.740 2.316
Ba -5.046 -2.839 -0.420
Ba -6.928 1.206 -0.255
Cl -3.155 -1.666 -2.797
Cl -2.325 -3.723 1.134
S -5.123 2.263 -2.849
S -3.484 -1.797 4.910
S -4.304 0.233 1.031
N 0.000 0.000 0.000
```

No. 7
First-principles (PBE) data for a relaxed Ba4SNCl2 crystal, as listed in the Alexandria database.

Output
* SG: P2/m

```
8
Lattice="4.333 0.000 0.000 0.000 7.636 0.170 0.000 -2.639 7.469" Properties=species:S:1:pos:R:3 pbc="T T T"
Ba 2.167 1.463 1.647
Ba 0.000 4.918 1.665
Ba 2.167 3.534 5.992
Ba 0.000 0.079 5.974
S 0.000 0.000 0.000
Cl 0.000 2.499 3.819
Cl 2.167 -1.319 3.735
N 2.167 3.818 0.085
```

No. 8
First-principles (PBE) data for a relaxed BaS2NCl crystal, as listed in the Alexandria database.

Output
* ΔE to the lowest computed polymorph: 92.9 kJ per mole of atoms
* SG: P4/mmm

```
5
Lattice="-5.400 -2.979 -1.927 0.332 -3.918 5.127 -3.273 3.879 3.176" Properties=species:S:1:pos:R:3 pbc="T T T"
N -4.170 -1.509 3.188
S 0.166 -1.959 2.564
S -2.700 -1.489 -0.963
Cl -1.636 1.939 1.588
Ba 0.000 0.000 0.000
```

No. 9
First-principles (PBE) data for a relaxed BaSN2Cl crystal, as listed in the Alexandria database.

Output
* ΔE to the lowest computed polymorph: 31.3 kJ per mole of atoms
* SG: P4/mmm

```
5
Lattice="5.404 0.000 0.000 0.000 5.404 0.000 0.000 0.000 6.414" Properties=species:S:1:pos:R:3 pbc="T T T"
S 0.000 0.000 3.207
N 0.000 2.702 0.000
N 2.702 0.000 0.000
Ba 0.000 0.000 0.000
Cl 2.702 2.702 3.207
```

No. 10
First-principles (PBE) data for a relaxed Ba6S2NCl3 crystal, as listed in the Alexandria database.

Output
* SG: C2/m

```
12
Lattice="-0.925 -4.205 -6.341 -3.616 -1.980 6.461 -4.327 6.312 -2.007" Properties=species:S:1:pos:R:3 pbc="T T T"
Ba -2.371 0.314 1.550
Ba -7.320 0.493 0.479
Ba -4.422 -3.371 -0.344
Ba -1.548 -0.367 -2.365
Ba -6.497 -0.188 -3.437
Ba -4.446 3.498 -1.543
S -1.823 -3.463 -2.071
S -2.719 -2.722 2.191
Cl -5.318 0.794 3.262
Cl -3.550 -0.668 -5.149
Cl -4.434 0.063 -0.943
N 0.000 0.000 0.000
```

No. 11
First-principles (PBE) data for a relaxed Ba2SbNCl crystal, as listed in the Alexandria database.

Output
* SG: P4/mmm

```
5
Lattice="-1.958 -5.314 -1.981 4.981 -1.515 -0.859 0.297 -2.189 5.578" Properties=species:S:1:pos:R:3 pbc="T T T"
Ba -0.979 -2.657 -0.990
Ba 0.148 -1.094 2.789
N 1.660 -4.509 1.369
Sb 2.491 -0.757 -0.430
Cl 0.000 0.000 0.000
```

No. 12
First-principles (PBE) data for a relaxed BaSeN2Cl crystal, as listed in the Alexandria database.

Output
* ΔE to the lowest computed polymorph: 0.0 kJ per mole of atoms
* SG: P4/mmm

```
5
Lattice="4.535 0.000 0.000 0.000 4.535 0.000 0.000 0.000 4.857" Properties=species:S:1:pos:R:3 pbc="T T T"
N 0.000 2.267 0.000
N 2.267 0.000 0.000
Cl 0.000 0.000 0.000
Ba 2.267 2.267 2.428
Se 0.000 0.000 2.428
```

No. 13
First-principles (PBE) data for a relaxed Ba4SeNCl2 crystal, as listed in the Alexandria database.

Output
* SG: P2/m

```
8
Lattice="4.396 0.000 0.000 0.000 7.804 0.172 0.000 -2.695 7.469" Properties=species:S:1:pos:R:3 pbc="T T T"
Se 0.000 0.000 0.000
N 2.198 3.902 0.086
Ba 0.000 4.997 1.688
Ba 2.198 3.538 5.973
Ba 2.198 1.571 1.668
Ba 0.000 0.112 5.953
Cl 0.000 2.555 3.820
Cl 2.198 -1.347 3.734
```

No. 14
First-principles (PBE) data for a relaxed BaSe2NCl crystal, as listed in the Alexandria database.

Output
* ΔE to the lowest computed polymorph: 0.0 kJ per mole of atoms
* SG: P4/mmm

```
5
Lattice="-4.403 -0.179 -3.081 1.552 -4.767 -1.942 -2.157 -2.005 3.199" Properties=species:S:1:pos:R:3 pbc="T T T"
N -1.078 -1.003 1.599
Cl 0.000 0.000 0.000
Ba -2.504 -3.476 -0.912
Se 0.776 -2.383 -0.971
Se -2.201 -0.089 -1.540
```

No. 15
First-principles (PBE) data for a relaxed Ba6SeN2Cl3 crystal, as listed in the Alexandria database.

Output
* SG: C2/m

```
12
Lattice="7.497 -0.003 -0.009 -3.749 6.492 -0.009 -1.259 -2.181 7.622" Properties=species:S:1:pos:R:3 pbc="T T T"
Cl 5.090 -0.066 3.802
Cl -2.601 4.375 3.802
Cl 1.244 2.154 3.802
Ba 3.878 1.906 6.031
Ba -1.390 2.403 1.572
Ba 2.365 4.095 1.560
Ba 2.776 -0.002 1.572
Ba 0.124 0.214 6.044
Ba -0.288 4.311 6.031
Se 0.000 0.000 0.000
N -0.016 4.336 -0.009
N 3.764 2.153 -0.009
```

No. 16
First-principles (PBE) data for a relaxed BaSeN2Cl crystal, as listed in the Alexandria database.

Output
* ΔE to the lowest computed polymorph: 20.0 kJ per mole of atoms
* SG: P4/mmm

```
5
Lattice="-0.985 -4.862 2.124 5.160 -1.382 -0.770 1.529 2.336 6.056" Properties=species:S:1:pos:R:3 pbc="T T T"
Se 0.765 1.168 3.028
Cl 2.852 -1.954 3.705
N -0.493 -2.431 1.062
N 2.580 -0.691 -0.385
Ba 0.000 0.000 0.000
```

No. 17
First-principles (PBE) data for a relaxed BaSe2NCl crystal, as listed in the Alexandria database.

Output
* ΔE to the lowest computed polymorph: 46.9 kJ per mole of atoms
* SG: P4/mmm

```
5
Lattice="6.548 0.000 0.000 0.000 6.548 0.000 0.000 0.000 5.381" Properties=species:S:1:pos:R:3 pbc="T T T"
Cl 3.274 3.274 2.691
N 0.000 0.000 2.691
Ba 0.000 0.000 0.000
Se 0.000 3.274 0.000
Se 3.274 0.000 0.000
```

No. 18
First-principles (PBE) data for a relaxed Ba5SiN4Cl2 crystal, as listed in the Alexandria database.

Output
* SG: Amm2

```
12
Lattice="6.572 0.000 0.000 -3.286 4.873 0.000 0.000 0.000 8.908" Properties=species:S:1:pos:R:3 pbc="T T T"
Cl 0.994 1.881 4.454
Cl 4.279 2.992 4.454
Ba -0.655 1.850 1.690
Ba 3.406 0.000 4.454
Ba -0.655 1.850 7.219
Ba 2.631 3.023 1.690
Ba 2.631 3.023 7.219
N 3.663 0.000 7.353
N 3.663 0.000 1.555
N 1.535 1.438 0.000
N -1.750 3.435 0.000
Si 2.638 0.000 0.000
```

No. 19
First-principles (PBE) data for a relaxed Ba2SmN2Cl2 crystal, as listed in the Alexandria database.

Output
* SG: I4/mmm

```
7
Lattice="-1.766 -4.218 -0.856 2.807 -0.427 -3.685 5.140 -1.001 6.968" Properties=species:S:1:pos:R:3 pbc="T T T"
N -0.883 -2.109 -0.428
N 1.404 -0.213 -1.842
Ba 4.372 -2.567 3.628
Ba 1.809 -3.079 -1.201
Cl 4.148 -4.452 0.739
Cl 2.034 -1.194 1.688
Sm 0.000 0.000 0.000
```

No. 20
First-principles (PBE) data for a relaxed BaTaNCl2 crystal, as listed in the Alexandria database.

Output
* SG: P4/mmm

```
5
Lattice="-0.467 -3.529 3.667 3.845 0.619 1.085 -1.509 3.613 3.284" Properties=species:S:1:pos:R:3 pbc="T T T"
Ba 0.935 0.351 4.018
Cl -0.754 1.806 1.642
Cl -0.233 -1.764 1.833
Ta 0.000 0.000 0.000
N 1.922 0.309 0.543
```

No. 21
First-principles (PBE) data for a relaxed Ba3TaN3Cl2 crystal, as listed in the Alexandria database.

Output
* SG: P6_3cm

```
54
Lattice="-1.843 -9.425 -11.811 4.477 -5.475 13.480 -6.181 -0.904 1.686" Properties=species:S:1:pos:R:3 pbc="T T T"
Ba -5.928 -10.465 -4.176
Ba -2.576 -8.369 9.242
Ba 0.109 -9.994 5.796
Ba -5.919 -6.140 -1.825
Ba -1.019 -12.380 2.188
Ba -3.959 -4.915 6.019
Ba -4.664 -10.250 0.576
Ba -1.851 -11.219 -2.048
Ba -3.495 -2.340 -1.507
Ba 3.546 -4.386 10.797
Ba 0.490 -2.982 0.343
Ba -2.232 -1.551 3.546
Ba 0.118 -5.670 8.147
Ba -1.510 -7.547 -9.442
Ba -3.235 -7.765 -5.270
Ba -1.147 -5.885 3.395
Ba -2.153 -6.514 -0.634
Ba -3.657 -9.620 4.606
Cl -2.494 -3.869 1.227
Cl 1.176 -6.966 5.375
Cl 0.353 -4.673 11.234
Cl -1.567 -0.229 0.427
Cl -4.518 -7.717 -8.259
Cl -4.021 -8.735 -2.212
Cl 1.019 -1.256 3.092
Cl 2.023 -11.485 1.288
Cl -4.658 -0.681 1.270
Cl -0.429 -2.162 -2.706
Cl -0.931 -8.283 -3.055
Cl -1.915 -7.418 6.218
Ta -1.019 -2.744 6.501
Ta -4.890 -7.186 2.344
Ta -3.423 -4.035 9.411
Ta -1.395 -9.018 1.757
Ta -3.694 -4.416 -4.205
Ta -7.067 -6.313 -5.174
N 0.467 -5.407 -0.842
N 2.781 -10.479 4.924
N -5.242 -5.463 -4.886
N -3.014 -7.886 1.985
N -2.001 -3.437 8.086
N -2.104 -4.767 -5.424
N -1.095 -9.970 3.401
N -1.817 -10.421 0.511
N 0.950 -11.624 -2.404
N 1.189 -4.955 2.047
N 0.144 -7.819 1.185
N 2.883 -4.978 8.248
N -3.409 -4.898 -2.365
N -0.883 -7.332 -6.825
N -3.511 -10.399 -5.690
N -1.578 -3.753 4.963
N 0.974 -2.843 6.895
N 0.255 -8.045 9.384
```

No. 22
First-principles (PBE) data for a relaxed Ba5TcN4Cl2 crystal, as listed in the Alexandria database.

Output
* SG: Amm2

```
12
Lattice="-4.210 -3.637 4.112 5.975 -0.492 -0.136 0.659 6.271 6.222" Properties=species:S:1:pos:R:3 pbc="T T T"
Cl 1.169 1.578 4.593
Cl -0.192 -0.685 7.017
Ba 1.165 2.161 7.867
Ba 2.427 4.483 5.393
Ba 0.762 -1.679 4.057
Ba 2.023 0.643 1.583
Ba -1.835 1.267 5.224
N -1.768 3.152 7.360
N -2.190 -0.869 3.370
N 4.019 -0.584 0.163
N 0.231 -1.398 1.385
Tc -1.706 -1.474 1.666
```

No. 23
First-principles (PBE) data for a relaxed BaTeN2Cl crystal, as listed in the Alexandria database.

Output
* ΔE to the lowest computed polymorph: 0.0 kJ per mole of atoms
* SG: P4/mmm

```
5
Lattice="4.854 0.000 0.000 0.000 4.854 0.000 0.000 0.000 5.197" Properties=species:S:1:pos:R:3 pbc="T T T"
N 0.000 2.427 0.000
N 2.427 0.000 0.000
Te 0.000 0.000 2.598
Ba 2.427 2.427 2.598
Cl 0.000 0.000 0.000
```

| no. | ΔE_f (raw) (eV per formula unit) |
| --- | --- |
| 1 | -13.5 |
| 2 | 4.3 |
| 3 | -1.0 |
| 4 | 5.8 |
| 5 | 2.1 |
| 6 | -21.0 |
| 7 | -12.9 |
| 8 | 3.8 |
| 9 | 7.4 |
| 10 | -20.9 |
| 11 | 1.1 |
| 12 | 6.0 |
| 13 | -12.7 |
| 14 | 1.8 |
| 15 | -18.0 |
| 16 | 7.1 |
| 17 | 4.3 |
| 18 | -12.0 |
| 19 | -10.4 |
| 20 | -4.8 |
| 21 | -14.2 |
| 22 | -10.4 |
| 23 | 6.6 |